AlAgTe | Alexandria | PBE-GGA | relaxed; energy relative to the elements, uncorrected = 0.17 eV per atom; symmetry = P4/nmm; distance to the lowest polymorph of the same formula = 0.281 eV/atom
1.0
4.940 0.000 0.000
0.000 4.940 0.000
0.000 0.000 6.054
Al Ag Te
2 2 2
Cartesian
1.235 3.705 0.000 Al
3.705 1.235 0.000 Al
1.235 1.235 1.583 Ag
3.705 3.705 4.471 Ag
1.235 1.235 4.459 Te
3.705 3.705 1.595 Te

As2PtPb | Alexandria | PBE-GGA | relaxed; symmetry = Cm; ΔE_f = -0.1822 eV/atom
1.0
6.965 0.000 0.000
0.000 3.910 0.000
-2.519 0.000 6.805
As Pt Pb
4 2 2
Cartesian
0.000 0.000 0.000 As
-0.141 0.000 4.514 As
3.482 1.955 0.000 As
3.342 1.955 4.514 As
-1.330 1.955 5.657 Pt
2.152 0.000 5.657 Pt
2.111 0.000 2.442 Pb
5.593 1.955 2.442 Pb

Record order is preserved below.
VASP energy: -3.08, -4.94 eV per atom
Record order is preserved below.
Magnetization: 0.00, 0.00 μB per formula unit